Crystalline LiCo3OF5 at its relaxed geometry, computed with PBE+U.

abc: 5.148 5.148 5.496
angles: 71.32 72.36 76.88
Positions (direct):
Li 0.000 0.000 0.000
Co 0.103 0.599 0.624
Co 0.484 0.483 0.036
Co 0.592 0.109 0.625
O 0.409 0.420 0.401
F 0.267 0.264 0.940
F 0.312 0.814 0.769
F 0.777 0.777 0.902
F 0.810 0.318 0.768
F 0.903 0.916 0.374

Summary:
calculated density: 3.8 g/cm3
density of states at the Fermi level: 0.00 states/eV per cell
E above lowest polymorph: 0.001 eV/atom
calculated total energy: -51.40 eV per cell